Here is a relaxed LiAlTl2 crystal from the Alexandria database. Energies are from PBE-GGA.

* symmetry: C2/m
* N(E_F): 1.07 states/eV per cell

Structure (POSCAR):
```
LiAlTl2
1.0
4.960 -0.037 0.022
3.807 3.179 0.022
1.098 0.394 5.828
Tl Li Al
2 1 1
Direct
0.000 0.000 0.998
0.500 0.500 0.502
0.750 0.750 0.750
0.250 0.250 0.250
```

Here is a relaxed LiAlTl crystal from the Alexandria database. Energies are from PBE-GGA.

* offset from the most stable computed form: 0.000 eV/atom
* symmetry: C2/m
* N(E_F): 1.57 states/eV per cell

Structure (POSCAR):
```
LiAlTl
1.0
-5.160 0.365 -1.608
2.101 -2.617 1.787
-0.181 13.256 3.590
Tl Li Al
2 2 2
Direct
0.761 0.521 0.758
0.239 0.479 0.242
0.440 0.881 0.094
0.560 0.119 0.906
0.897 0.795 0.574
0.103 0.205 0.426
```

Here is a relaxed LiAl4Tl crystal from the Alexandria database. Energies are from PBE-GGA.

* symmetry: F-43m
* N(E_F): 2.10 states/eV per cell

Structure (POSCAR):
```
LiAl4Tl
1.0
0.000 3.928 3.928
3.928 0.000 3.928
3.928 3.928 0.000
Tl Li Al
1 1 4
Direct
0.000 0.000 0.000
0.750 0.750 0.750
0.376 0.376 0.872
0.376 0.376 0.376
0.872 0.376 0.376
0.376 0.872 0.376
```

Here is a relaxed LiAl2Tl crystal from the Alexandria database. Energies are from PBE-GGA.

* offset from the most stable computed form: 0.038 eV/atom
* symmetry: Pmmm
* N(E_F): 1.58 states/eV per cell

Structure (POSCAR):
```
LiAl2Tl
1.0
3.407 0.000 0.000
0.000 4.502 0.000
0.000 0.000 5.208
Al Li Tl
2 1 1
Direct
0.500 0.500 0.000
0.000 0.000 0.000
0.500 0.000 0.500
0.000 0.500 0.500
```

Here is a relaxed LiAlTl crystal from the Alexandria database. Energies are from PBE-GGA.

* offset from the most stable computed form: 0.165 eV/atom
* symmetry: F-43m
* N(E_F): 1.92 states/eV per cell

Structure (POSCAR):
```
LiAlTl
1.0
4.511 0.000 0.000
2.255 3.906 0.000
2.255 1.302 3.683
Al Li Tl
1 1 1
Direct
0.500 0.500 0.500
0.750 0.750 0.750
0.000 0.000 0.000
```

Here is a relaxed LiAl2Tl crystal from the Alexandria database. Energies are from PBE-GGA.

* offset from the most stable computed form: 0.030 eV/atom
* symmetry: F222
* N(E_F): 1.51 states/eV per cell

Structure (POSCAR):
```
LiAl2Tl
1.0
-0.396 -3.428 -3.870
1.374 -4.669 1.788
-3.378 3.498 1.823
Tl Al Li
1 2 1
Direct
0.250 0.750 0.500
0.000 0.000 0.000
0.750 0.250 0.500
0.500 0.500 0.000
```

Here is a relaxed LiAlTl2 crystal from the Alexandria database. Energies are from PBE-GGA.

* symmetry: F-43m
* N(E_F): 2.25 states/eV per cell

Structure (POSCAR):
```
LiAlTl2
1.0
-2.630 -2.941 3.330
1.788 -4.669 1.291
1.864 -0.830 4.743
Tl Li Al
2 1 1
Direct
0.000 0.000 0.000
0.750 0.750 0.750
0.250 0.250 0.250
0.500 0.500 0.500
```

Here is a relaxed LiAlTl2 crystal from the Alexandria database. Energies are from PBE-GGA.

* symmetry: I-4m2
* N(E_F): 1.67 states/eV per cell

Structure (POSCAR):
```
LiAlTl2
1.0
-4.867 3.257 -0.020
-3.509 -0.379 4.673
5.708 0.841 -1.000
Tl Li Al
2 1 1
Direct
0.250 0.750 0.500
0.000 0.000 0.000
0.750 0.250 0.500
0.500 0.500 0.000
```

Here is a relaxed Li7AlTl4 crystal from the Alexandria database. Energies are from PBE-GGA.

* symmetry: C2/m
* N(E_F): 4.84 states/eV per cell

Structure (POSCAR):
```
Li7AlTl4
1.0
5.098 0.000 0.000
2.549 7.577 1.191
2.549 1.494 6.696
Li Tl Al
7 4 1
Direct
0.805 0.880 0.509
0.775 0.251 0.199
0.225 0.749 0.801
0.500 0.000 0.000
0.925 0.416 0.734
0.195 0.120 0.491
0.075 0.584 0.266
0.317 0.347 0.018
0.683 0.653 0.982
0.571 0.275 0.583
0.429 0.725 0.417
0.000 0.000 0.000
```

Here is a relaxed LiAlTl crystal from the Alexandria database. Energies are from PBE-GGA.

* offset from the most stable computed form: 0.042 eV/atom
* symmetry: P3m1
* N(E_F): 1.41 states/eV per cell

Structure (POSCAR):
```
LiAlTl
1.0
4.872 0.000 0.000
-2.436 4.219 0.000
0.000 0.000 3.137
Tl Li Al
1 1 1
Direct
0.333 0.667 0.831
0.667 0.333 0.334
0.000 0.000 0.835
```

Here is a relaxed LiAl2Tl crystal from the Alexandria database. Energies are from PBE-GGA.

* offset from the most stable computed form: 0.046 eV/atom
* symmetry: F-43m
* N(E_F): 1.23 states/eV per cell

Structure (POSCAR):
```
LiAl2Tl
1.0
-2.514 4.000 -0.992
-4.136 0.889 2.324
-0.229 3.572 3.239
Al Li Tl
2 1 1
Direct
0.000 0.000 0.000
0.250 0.250 0.250
0.500 0.500 0.500
0.750 0.750 0.750
```

Here is a relaxed LiAlTl2 crystal from the Alexandria database. Energies are from PBE-GGA.

* symmetry: Pmm2
* N(E_F): 1.09 states/eV per cell

Structure (POSCAR):
```
LiAlTl2
1.0
-0.200 -1.780 -2.893
-3.256 -2.695 1.884
-4.204 3.693 -1.983
Al Tl Li
1 2 1
Direct
0.000 0.000 0.490
0.500 0.500 0.279
0.000 0.000 0.973
0.500 0.500 0.758
```

Here is a relaxed LiAl2Tl crystal from the Alexandria database. Energies are from PBE-GGA.

* offset from the most stable computed form: 0.019 eV/atom
* symmetry: Cm
* N(E_F): 0.98 states/eV per cell

Structure (POSCAR):
```
LiAl2Tl
1.0
4.789 -0.065 0.026
3.735 2.998 0.026
0.997 0.343 5.495
Li Al Tl
1 2 1
Direct
0.496 0.496 0.516
0.006 0.006 0.957
0.747 0.747 0.761
0.251 0.251 0.266
```

Here is a relaxed LiAlTl2 crystal from the Alexandria database. Energies are from PBE-GGA.

* symmetry: Cm
* N(E_F): 1.24 states/eV per cell

Structure (POSCAR):
```
LiAlTl2
1.0
-0.842 -4.466 2.993
1.356 -2.475 4.653
-3.971 1.636 3.297
Li Tl Al
1 2 1
Direct
0.760 0.760 0.763
0.240 0.240 0.290
0.010 0.010 0.957
0.491 0.491 0.490
```

Here is a relaxed LiAlTl crystal from the Alexandria database. Energies are from PBE-GGA.

* offset from the most stable computed form: 0.044 eV/atom
* symmetry: I4mm
* N(E_F): 0.96 states/eV per cell

Structure (POSCAR):
```
LiAlTl
1.0
6.407 -0.147 0.155
5.666 2.996 0.154
0.742 0.176 3.137
Al Tl Li
1 1 1
Direct
0.988 0.988 0.012
0.670 0.670 0.330
0.342 0.342 0.658
```

Here is a relaxed LiAl3Tl crystal from the Alexandria database. Energies are from PBE-GGA.

* offset from the most stable computed form: 0.000 eV/atom
* symmetry: Pm-3m
* N(E_F): 1.75 states/eV per cell

Structure (POSCAR):
```
LiAl3Tl
1.0
4.747 0.000 0.000
0.000 4.747 0.000
0.000 0.000 4.747
Tl Al Li
1 3 1
Direct
0.500 0.500 0.500
0.500 0.000 0.000
0.000 0.000 0.500
0.000 0.500 0.000
0.000 0.000 0.000
```

Here is a relaxed LiAlTl2 crystal from the Alexandria database. Energies are from PBE-GGA.

* symmetry: Pmmm
* N(E_F): 1.69 states/eV per cell

Structure (POSCAR):
```
LiAlTl2
1.0
3.470 0.000 0.000
0.000 3.870 0.000
0.000 0.000 6.808
Tl Al Li
2 1 1
Direct
0.000 0.000 0.499
0.000 0.000 0.001
0.500 0.500 0.250
0.500 0.500 0.750
```

Here is a relaxed LiAlTl2 crystal from the Alexandria database. Energies are from PBE-GGA.

* symmetry: C2/m
* N(E_F): 1.60 states/eV per cell

Structure (POSCAR):
```
LiAlTl2
1.0
-4.178 3.948 1.745
-0.238 -2.154 -5.422
-2.505 -2.175 0.155
Al Tl Li
1 2 1
Direct
0.000 0.500 0.500
0.000 0.000 0.000
0.500 0.000 0.500
0.500 0.500 0.000
```

Here is a relaxed Li4AlTl crystal from the Alexandria database. Energies are from PBE-GGA.

* offset from the most stable computed form: 0.167 eV/atom
* symmetry: F-43m
* N(E_F): 3.00 states/eV per cell

Structure (POSCAR):
```
Li4AlTl
1.0
0.442 -5.290 0.645
2.376 -1.972 4.366
-2.908 -2.490 3.733
Al Li Tl
1 4 1
Direct
0.000 0.000 0.000
0.374 0.374 0.374
0.374 0.374 0.878
0.374 0.878 0.374
0.878 0.374 0.374
0.750 0.750 0.750
```

Here is a relaxed Li5AlTl6 crystal from the Alexandria database. Energies are from PBE-GGA.

* symmetry: C2/m
* N(E_F): 3.43 states/eV per cell

Structure (POSCAR):
```
Li5AlTl6
1.0
-1.932 4.352 -1.737
-1.760 -6.042 -5.890
-2.657 -0.835 8.157
Al Tl Li
1 6 5
Direct
0.000 0.000 0.000
0.249 0.746 0.746
0.251 0.420 0.082
0.751 0.254 0.254
0.749 0.580 0.918
0.251 0.082 0.420
0.749 0.918 0.580
0.000 0.666 0.334
0.000 0.334 0.666
0.500 0.836 0.164
0.500 0.500 0.500
0.500 0.164 0.836
```

no.,V (Å³/f.u.),M_tot (μB per cell),DFT total energy (eV per atom)
1,92.6,0.00,-2.571
2,61.9,0.00,-2.690
3,121.2,0.00,-3.112
4,79.9,0.00,-2.876
5,64.9,0.00,-2.526
6,77.6,0.00,-2.884
7,97.3,0.00,-2.467
8,92.8,0.00,-2.551
9,249.6,0.00,-2.302
10,64.5,0.00,-2.649
11,79.5,0.00,-2.868
12,93.5,0.00,-2.539
13,80.2,0.00,-2.895
14,93.0,0.00,-2.555
15,62.4,0.00,-2.646
16,107.0,0.00,-2.651
17,91.4,0.00,-2.576
18,95.9,0.00,-2.516
19,108.1,0.16,-2.294
20,260.6,0.00,-2.446